1.
Pr6Y5Th | PBE-GGA | optimized geometry

Cell lengths 9.6338, 9.6338, 9.6338 Å; angles 148.85, 115.45, 73.41 degrees
With the nearest neighbours (Å) after each atom.
Fractional positions:
Pr 0.0853 0.3358 0.7496  1 Th 3.61, 7 Y 3.62-3.70, 4 Pr 3.62-3.70
Pr 0.2472 0.0000 0.2472  6 Y 3.59-3.67, 4 Pr 3.62, 2 Th 3.63
Pr 0.4138 0.6642 0.7496  1 Th 3.61, 7 Y 3.62-3.70, 4 Pr 3.62-3.70
Pr 0.5862 0.3358 0.2504  1 Th 3.61, 7 Y 3.62-3.70, 4 Pr 3.62-3.70
Pr 0.7528 0.0000 0.7528  6 Y 3.59-3.67, 4 Pr 3.62, 2 Th 3.63
Pr 0.9147 0.6642 0.2504  1 Th 3.61, 7 Y 3.62-3.70, 4 Pr 3.62-3.70
Y 0.1636 0.1636 0.0000  8 Pr 3.59-3.70, 2 Th 3.62, 2 Y 3.67
Y 0.3322 0.8322 0.5000  8 Pr 3.65-3.67, 4 Y 3.66-3.67
Y 0.5000 0.5000 0.0000  8 Pr 3.62-3.67, 4 Y 3.66
Y 0.6678 0.1678 0.5000  8 Pr 3.65-3.67, 4 Y 3.66-3.67
Y 0.8364 0.8364 0.0000  8 Pr 3.59-3.70, 2 Th 3.62, 2 Y 3.67
Th 0.0000 0.5000 0.5000  8 Pr 3.61-3.63, 4 Y 3.62

Computed properties:
As for the theoretical density: 6.15 g/cm³. As for the energy of formation: 0.03 eV per atom. Its space group is Immm (71).

=====

2.
MoAsRhBr2 | PBE-GGA | optimized geometry

Cell lengths 5.1287, 5.1287, 4.8522 Å; angles 90.00, 90.00, 90.00 degrees
With the nearest neighbours (Å) after each atom.
Fractional positions:
Mo 0.0000 0.0000 0.0000  2 As 2.43, 4 Br 2.56
As 0.0000 0.0000 0.5000  2 Mo 2.43
Rh 0.5000 0.5000 0.5000  8 Br 3.53, 4 As 3.63
Br 0.0000 0.5000 0.0000  2 Mo 2.56
Br 0.5000 0.0000 0.0000  2 Mo 2.56

Computed properties:
As for the theoretical density: 5.64 g/cm³. Its space group is P4/mmm (123). The uncorrected formation energy comes out at 0.911 eV per atom. As for the energy above the most stable polymorph in this dataset: 0.064 eV per atom.

=====

3.
CrHS3 | PBE-GGA | optimized geometry

Cell lengths 4.4517, 4.4517, 4.4517 Å; angles 90.00, 90.00, 90.00 degrees
With the nearest neighbours (Å) after each atom.
Fractional positions:
Cr 0.0000 0.0000 0.0000  6 S 2.23
H 0.5000 0.5000 0.5000  12 S 3.15
S 0.0000 0.0000 0.5000  2 Cr 2.23
S 0.0000 0.5000 0.0000  2 Cr 2.23
S 0.5000 0.0000 0.0000  2 Cr 2.23

Computed properties:
As for the theoretical density: 2.81 g/cm³. Its space group is Pm-3m (221). As for the energy above the most stable polymorph in this dataset: 0.000 eV per atom.

=====

4.
Pr4NiSn | PBE-GGA | optimized geometry

Cell lengths 6.1711, 7.0656, 8.4364 Å; angles 90.00, 96.85, 90.00 degrees
With the nearest neighbours (Å) after each atom.
Fractional positions:
Pr 0.1036 0.2500 0.0611  1 Ni 2.76
Pr 0.1640 0.7500 0.3775  1 Ni 3.07, 1 Sn 3.27
Pr 0.3896 0.5039 0.7791  2 Ni 2.75-2.93
Pr 0.3896 0.9961 0.7791  2 Ni 2.75-2.93
Pr 0.6104 0.0039 0.2209  2 Ni 2.75-2.93
Pr 0.6104 0.4961 0.2209  2 Ni 2.75-2.93
Pr 0.8360 0.2500 0.6225  1 Ni 3.07, 1 Sn 3.27
Pr 0.8964 0.7500 0.9389  1 Ni 2.76
Ni 0.3355 0.7500 0.0506  6 Pr 2.75-3.07
Ni 0.6645 0.2500 0.9494  6 Pr 2.75-3.07
Sn 0.2758 0.2500 0.4403  9 Pr 3.25-3.63
Sn 0.7242 0.7500 0.5597  9 Pr 3.25-3.63

Computed properties:
As for the theoretical density: 6.74 g/cm³. As for the energy of formation: -0.35 eV per atom. Its space group is P2_1/m (11). As for the energy above the most stable polymorph in this dataset: 0.000 eV per atom.

=====

5.
TaV2FeW | PBE-GGA | optimized geometry

Cell lengths 4.4531, 4.4531, 4.9309 Å; angles 90.00, 90.00, 90.00 degrees
With the nearest neighbours (Å) after each atom.
Fractional positions:
Ta 0.0000 0.0000 0.0000  2 W 2.47
V 0.0000 0.5000 0.5000  2 W 2.23
V 0.5000 0.0000 0.5000  2 W 2.23
Fe 0.5000 0.5000 0.0000  4 Ta 3.15, 8 V 3.32
W 0.0000 0.0000 0.5000  4 V 2.23, 2 Ta 2.47

Computed properties:
As for the theoretical density: 8.87 g/cm³. As for the energy of formation: 1.90 eV per atom. Its space group is P4/mmm (123). As for the energy above the most stable polymorph in this dataset: 1.005 eV per atom.

=====

6.
LaAlPCl2 | PBE-GGA | optimized geometry

Cell lengths 5.5059, 5.5059, 5.7450 Å; angles 90.00, 90.00, 90.00 degrees
With the nearest neighbours (Å) after each atom.
Fractional positions:
La 0.0000 0.0000 0.0000  4 Cl 2.75, 2 P 2.87
Al 0.5000 0.5000 0.5000  4 P 3.89, 8 Cl 3.98
P 0.0000 0.0000 0.5000  2 La 2.87
Cl 0.0000 0.5000 0.0000  2 La 2.75
Cl 0.5000 0.0000 0.0000  2 La 2.75

Computed properties:
As for the theoretical density: 2.55 g/cm³. Its space group is P4/mmm (123). The uncorrected formation energy comes out at -0.701 eV per atom. As for the energy above the most stable polymorph in this dataset: 0.262 eV per atom.

=====

7.
CaSc2BiO6 | PBE-GGA | optimized geometry

Cell lengths 5.8736, 5.8736, 5.8736 Å; angles 57.51, 57.51, 57.51 degrees
With the nearest neighbours (Å) after each atom.
Fractional positions:
Ca 0.0000 0.0000 0.0000  6 O 2.34-2.48
Sc 0.2771 0.2771 0.2771  6 O 2.09-2.21
Sc 0.7777 0.7777 0.7777  6 O 2.08-2.21
Bi 0.4902 0.4902 0.4902  6 O 2.29-2.30
O 0.0706 0.6370 0.4306  2 Sc 2.08-2.21, 1 Bi 2.29
O 0.1505 0.5594 0.9178  2 Sc 2.09-2.21, 1 Bi 2.30
O 0.4306 0.0706 0.6370  2 Sc 2.08-2.21, 1 Bi 2.29
O 0.5594 0.9178 0.1505  2 Sc 2.09-2.21, 1 Bi 2.30
O 0.6370 0.4306 0.0706  2 Sc 2.08-2.21, 1 Bi 2.29
O 0.9178 0.1505 0.5594  2 Sc 2.09-2.21, 1 Bi 2.30

Computed properties:
As for the theoretical density: 5.35 g/cm³. Its space group is R3 (146). The uncorrected formation energy comes out at -2.652 eV per atom.

=====

8.
BaSBr2 | PBE-GGA | optimized geometry

Cell lengths 5.1395, 5.1395, 20.3441 Å; angles 90.00, 90.00, 90.00 degrees
With the nearest neighbours (Å) after each atom.
Fractional positions:
Ba 0.0000 0.0000 0.0000  4 Br 3.20
Ba 0.0000 0.5000 0.2500  4 Br 3.20
Ba 0.5000 0.0000 0.7500  4 Br 3.20
Ba 0.5000 0.5000 0.5000  4 Br 3.20
S 0.0000 0.0000 0.5000  4 Br 3.06
S 0.0000 0.5000 0.7500  4 Br 3.06
S 0.5000 0.0000 0.2500  4 Br 3.06
S 0.5000 0.5000 0.0000  4 Br 3.06
Br 0.2149 0.2500 0.6250  2 S 3.06, 2 Ba 3.20, 2 Br 3.39
Br 0.2500 0.7149 0.8750  2 S 3.06, 2 Ba 3.20, 2 Br 3.39
Br 0.2500 0.7851 0.3750  2 S 3.06, 2 Ba 3.20, 2 Br 3.39
Br 0.2851 0.2500 0.1250  2 S 3.06, 2 Ba 3.20, 2 Br 3.39
Br 0.7149 0.7500 0.1250  2 S 3.06, 2 Ba 3.20, 2 Br 3.39
Br 0.7500 0.2149 0.3750  2 S 3.06, 2 Ba 3.20, 2 Br 3.39
Br 0.7500 0.2851 0.8750  2 S 3.06, 2 Ba 3.20, 2 Br 3.39
Br 0.7851 0.7500 0.6250  2 S 3.06, 2 Ba 3.20, 2 Br 3.39

Computed properties:
As for the theoretical density: 4.07 g/cm³. Its space group is I-42d (122). The uncorrected formation energy comes out at -0.929 eV per atom. As for the energy above the most stable polymorph in this dataset: 0.060 eV per atom.

=====

> theoretical density of number 6 (LaAlPCl2)?

2.55 g/cm³

=====

> Among the records above, which one has the highest theoretical density?

TaV2FeW